First-principles (PBE) data for crystalline MgTlIr2N at its relaxed geometry, as listed in the Alexandria database.

Cell lengths 4.658, 4.658, 5.572 Å; angles 90.00, 90.00, 90.00 degrees
Fractional positions:
Mg (0.000, 0.000, 0.000)
Tl (0.000, 0.000, 0.500)
Ir (0.000, 0.500, 0.000)
Ir (0.500, 0.000, 0.000)
N (0.500, 0.500, 0.500)

Summary:
Formation energy from raw total energies   2.4030 eV/atom
Magnetization   4.2 μB/cell

---

First-principles (PBE) data for crystalline SrAcAgS3 at its relaxed geometry, as listed in the Alexandria database.

Cell lengths 7.042, 7.042, 11.234 Å; angles 90.00, 90.00, 145.09 degrees
Fractional positions:
Sr (0.246, 0.754, 0.750)
Sr (0.754, 0.246, 0.250)
Ac (0.000, 0.000, 0.000)
Ac (0.000, 0.000, 0.500)
Ag (0.479, 0.521, 0.250)
Ag (0.521, 0.479, 0.750)
S (0.092, 0.908, 0.250)
S (0.356, 0.644, 0.077)
S (0.356, 0.644, 0.423)
S (0.644, 0.356, 0.577)
S (0.644, 0.356, 0.923)
S (0.908, 0.092, 0.750)

Summary:
Formation energy from raw total energies   -1.6121 eV/atom
Magnetization   0.0 μB/cell

---

First-principles (PBE) data for crystalline CeGa12Pd6 at its relaxed geometry, as listed in the Alexandria database.

Cell lengths 7.213, 7.213, 7.213 Å; angles 104.31, 104.31, 104.31 degrees
Fractional positions:
Ce (0.000, 0.000, 0.000)
Ga (0.111, 0.500, 0.889)
Ga (0.111, 0.889, 0.500)
Ga (0.144, 0.395, 0.395)
Ga (0.395, 0.144, 0.395)
Ga (0.395, 0.395, 0.144)
Ga (0.500, 0.111, 0.889)
Ga (0.500, 0.889, 0.111)
Ga (0.605, 0.605, 0.856)
Ga (0.605, 0.856, 0.605)
Ga (0.856, 0.605, 0.605)
Ga (0.889, 0.111, 0.500)
Ga (0.889, 0.500, 0.111)
Pd (0.284, 0.711, 0.711)
Pd (0.289, 0.289, 0.716)
Pd (0.289, 0.716, 0.289)
Pd (0.711, 0.284, 0.711)
Pd (0.711, 0.711, 0.284)
Pd (0.716, 0.289, 0.289)

Summary:
Energy relative to the elements   -0.491 eV per atom
Magnetization   1.0 μB/cell

---

First-principles (PBE) data for crystalline ScTiN2O at its relaxed geometry, as listed in the Alexandria database.

Cell lengths 4.034, 4.034, 3.893 Å; angles 90.00, 90.00, 90.00 degrees
Fractional positions:
Sc (0.000, 0.000, 0.000)
Ti (0.500, 0.500, 0.500)
N (0.000, 0.500, 0.000)
N (0.500, 0.000, 0.000)
O (0.000, 0.000, 0.500)

Summary:
Formation energy from raw total energies   -0.2226 eV/atom
Magnetization   0.0 μB/cell

---

First-principles (PBE) data for crystalline ZrAl2Pt at its relaxed geometry, as listed in the Alexandria database.

Cell lengths 4.557, 4.557, 4.557 Å; angles 60.00, 60.00, 60.00 degrees
Fractional positions:
Zr (0.000, 0.000, 0.000)
Al (0.250, 0.250, 0.250)
Al (0.750, 0.750, 0.750)
Pt (0.500, 0.500, 0.500)

Summary:
Energy relative to the elements   -0.542 eV per atom
Magnetization   0.0 μB/cell

---

no.,volume (Å³ per cell),total DFT energy (no corrections) (eV for the cell shown)
1,120.89,-17.993
2,318.85,-61.393
3,332.78,-82.740
4,63.34,-36.949
5,66.92,-24.243